Version 1
# LaBe3Ag PBE relaxed
data_LaBe3Ag
_chemical_formula_sum 'La1 Be3 Ag1'
_symmetry_space_group_name_H-M 'P m -3 m'
_symmetry_Int_Tables_number 221
_symmetry_space_group_name_Hall '-P 4 2 3'
_cell_length_a 4.444
_cell_length_b 4.444
_cell_length_c 4.444
_cell_angle_alpha 90.00
_cell_angle_beta 90.00
_cell_angle_gamma 90.00
loop_
_atom_site_label
_atom_site_fract_x
_atom_site_fract_y
_atom_site_fract_z
La1 0.000 0.000 0.000
Be1 0.000 0.500 0.500
Ag1 0.500 0.500 0.500
# - Total magnetic moment: 0.00 μB per formula unit
# - DOS at the Fermi energy: 0.0946 states/eV/atom

Version 2
# LaBe3Ag PBE relaxed
data_LaBe3Ag
_chemical_formula_sum 'La1 Be3 Ag1'
_symmetry_space_group_name_H-M 'P m -3 m'
_symmetry_Int_Tables_number 221
_symmetry_space_group_name_Hall '-P 4 2 3'
_cell_length_a 5.068
_cell_length_b 5.068
_cell_length_c 5.068
_cell_angle_alpha 90.00
_cell_angle_beta 90.00
_cell_angle_gamma 90.00
loop_
_atom_site_label
_atom_site_fract_x
_atom_site_fract_y
_atom_site_fract_z
La1 0.000 0.000 0.000
Be1 0.000 0.000 0.500
Ag1 0.500 0.500 0.500
# - Total magnetic moment: 0.00 μB per formula unit
# - DOS at the Fermi energy: 0.6390 states/eV/atom

Last place for stability: version 2

Version 1
# LiBe3Ag PBE relaxed
data_LiBe3Ag
_chemical_formula_sum 'Li1 Be3 Ag1'
_symmetry_space_group_name_H-M 'P m -3 m'
_symmetry_Int_Tables_number 221
_symmetry_space_group_name_Hall '-P 4 2 3'
_cell_length_a 4.366
_cell_length_b 4.366
_cell_length_c 4.366
_cell_angle_alpha 90.00
_cell_angle_beta 90.00
_cell_angle_gamma 90.00
loop_
_atom_site_label
_atom_site_fract_x
_atom_site_fract_y
_atom_site_fract_z
Li1 0.000 0.000 0.000
Be1 0.000 0.500 0.500
Ag1 0.500 0.500 0.500
# - Total magnetic moment: 0.00 μB per formula unit
# - DOS at the Fermi energy: 0.3255 states/eV/atom

Version 2
# LiBe3Ag PBE relaxed
data_LiBe3Ag
_chemical_formula_sum 'Li1 Be3 Ag1'
_symmetry_space_group_name_H-M 'P m -3 m'
_symmetry_Int_Tables_number 221
_symmetry_space_group_name_Hall '-P 4 2 3'
_cell_length_a 3.934
_cell_length_b 3.934
_cell_length_c 3.934
_cell_angle_alpha 90.00
_cell_angle_beta 90.00
_cell_angle_gamma 90.00
loop_
_atom_site_label
_atom_site_fract_x
_atom_site_fract_y
_atom_site_fract_z
Li1 0.000 0.000 0.000
Be1 0.000 0.000 0.500
Ag1 0.500 0.500 0.500
# - Total magnetic moment: 0.00 μB per formula unit
# - DOS at the Fermi energy: 0.2185 states/eV/atom

Last place for stability: version 2

Version 1
# LiBe2Ag2 PBE relaxed
data_LiBe2Ag2
_chemical_formula_sum 'Li2 Be4 Ag4'
_symmetry_space_group_name_H-M 'P 4/m b m'
_symmetry_Int_Tables_number 127
_symmetry_space_group_name_Hall '-P 4 2ab'
_cell_length_a 6.806
_cell_length_b 6.806
_cell_length_c 2.880
_cell_angle_alpha 90.00
_cell_angle_beta 90.00
_cell_angle_gamma 90.00
loop_
_atom_site_label
_atom_site_fract_x
_atom_site_fract_y
_atom_site_fract_z
Li1 0.000 0.000 0.000
Be1 0.119 0.381 0.000
Ag1 0.175 0.675 0.500
# - Total magnetic moment: 0.00 μB per formula unit
# - DOS at the Fermi energy: 0.3713 states/eV/atom

Version 2
# LiBe2Ag2 PBE relaxed
data_LiBe2Ag2
_chemical_formula_sum 'Li2 Be4 Ag4'
_symmetry_space_group_name_H-M 'P 4/m b m'
_symmetry_Int_Tables_number 127
_symmetry_space_group_name_Hall '-P 4 2ab'
_cell_length_a 7.000
_cell_length_b 7.000
_cell_length_c 2.805
_cell_angle_alpha 90.00
_cell_angle_beta 90.00
_cell_angle_gamma 90.00
loop_
_atom_site_label
_atom_site_fract_x
_atom_site_fract_y
_atom_site_fract_z
Li1 0.000 0.000 0.000
Be1 0.134 0.366 0.500
Ag1 0.160 0.660 0.000
# - Total magnetic moment: 0.00 μB per formula unit
# - DOS at the Fermi energy: 0.3758 states/eV/atom

Last place for stability: version 2